Record 1
# ZrPd

A relaxed structure of ZrPd (PBE, Alexandria).

Lattice parameters (Å, degrees): 11.453 11.453 3.106 90.00 90.00 90.00
Element x y z (fractional)
Zr 0.045 0.630 0.000
Zr 0.188 0.426 0.500
Zr 0.370 0.045 0.000
Zr 0.426 0.812 0.500
Zr 0.574 0.188 0.500
Zr 0.630 0.955 0.000
Zr 0.812 0.574 0.500
Zr 0.955 0.370 0.000
Pd 0.144 0.228 0.000
Pd 0.228 0.856 0.000
Pd 0.241 0.653 0.500
Pd 0.347 0.241 0.500
Pd 0.653 0.759 0.500
Pd 0.759 0.347 0.500
Pd 0.772 0.144 0.000
Pd 0.856 0.772 0.000

* final energy: -0.507 Ry/atom


Record 2
# La3Ga4Au2

A relaxed structure of La3Ga4Au2 (PBE, Alexandria).

Lattice parameters (Å, degrees): 6.086 6.086 8.782 109.37 109.37 44.73
Element x y z (fractional)
La 0.000 0.000 0.000
La 0.326 0.326 0.345
La 0.674 0.674 0.655
Ga 0.024 0.024 0.362
Ga 0.257 0.257 0.922
Ga 0.743 0.743 0.078
Ga 0.976 0.976 0.638
Au 0.399 0.399 0.728
Au 0.601 0.601 0.272

* final energy: -0.329 Ry/atom


Record 3
# MnRe2Ni

A relaxed structure of MnRe2Ni (PBE, Alexandria).

Lattice parameters (Å, degrees): 4.576 4.576 2.645 90.00 90.00 109.51
Element x y z (fractional)
Mn 0.000 0.000 0.000
Re 0.000 0.500 0.500
Re 0.500 0.000 0.500
Ni 0.500 0.500 0.000

* final energy: -0.728 Ry/atom
* excess energy over the best structure of this formula in the dataset: 42 meV per atom


Number 1: energy of formation -5 kJ/mol of formula units. Number 2: energy of formation -665 kJ/mol of formula units. Number 3: energy of formation 23 kJ/mol of formula units.